Compound: Rb2TiFeO4
Source: Alexandria via LeMat-Bulk
Functional: PBE+U
Structure: optimized geometry

Calculated values
- SG: Fddd
- Crystal system: orthorhombic
- Total energy: -51.182 eV/f.u.
- Volume: 21.02 Å³/atom

Structure (POSCAR):
```
Rb2TiFeO4
1.0
5.217 0.000 0.000
2.608 6.230 0.000
2.608 0.000 10.347
Rb Ti Fe O
4 2 2 8
Cartesian
2.608 0.000 6.757 Rb
5.217 0.000 3.590 Rb
6.521 3.115 8.764 Rb
6.521 3.115 1.583 Rb
3.912 3.115 5.174 Ti
2.608 0.000 0.000 Ti
6.521 3.115 5.174 Fe
0.000 0.000 0.000 Fe
4.035 5.162 0.943 O
4.035 1.067 9.404 O
9.006 5.162 9.404 O
3.790 1.067 0.943 O
5.094 4.182 4.231 O
5.094 2.047 6.116 O
7.948 4.182 6.116 O
2.731 2.047 4.231 O
```